Material: Dy3TlSb
Method: DFT, GGA-PBE
State: optimized geometry

```
Dy3TlSb
1.0
8.585 0.000 0.000
0.000 4.357 0.000
-4.109 0.000 8.657
Dy Tl Sb
6 2 2
Cartesian
-0.993 1.089 3.011
-2.729 1.089 8.628
1.136 3.268 5.440
3.340 1.089 3.216
7.205 3.268 0.029
5.469 3.268 5.646
1.202 3.268 2.224
3.274 1.089 6.433
-0.947 1.089 6.107
5.423 3.268 2.549
```

Values from the calculation:
DOS(E_F) = 0.8131 states/eV per atom
Formation energy from raw total energies = -469 meV/atom

Material: Dy2Tm2Sb5
Method: DFT, GGA-PBE
State: optimized geometry

```
Dy2Tm2Sb5
1.0
7.792 -3.972 0.000
7.792 3.972 0.000
0.000 0.000 8.197
Dy Tm Sb
4 4 10
Cartesian
2.985 0.000 0.000
4.807 0.000 4.099
10.777 0.000 4.099
12.599 0.000 0.000
7.792 2.741 5.409
7.792 1.231 1.310
7.792 -1.231 6.888
7.792 -2.741 2.789
0.000 0.000 0.000
5.620 2.791 2.885
5.620 1.180 6.984
9.964 2.791 2.885
9.964 1.180 6.984
7.792 0.000 4.099
5.620 -1.180 1.213
5.620 -2.791 5.312
9.964 -1.180 1.213
9.964 -2.791 5.312
```

Values from the calculation:
DOS(E_F) = 0.6015 states/eV per atom
Formation energy from raw total energies = -813 meV/atom

Material: Dy2TmSb
Method: DFT, GGA-PBE
State: optimized geometry

```
Dy2TmSb
1.0
1.993 1.151 9.377
-1.993 1.151 9.377
0.000 -2.301 9.377
Dy Tm Sb
2 1 1
Cartesian
0.000 0.000 0.000
0.000 0.000 5.507
0.000 0.000 12.140
0.000 0.000 16.807
```

Values from the calculation:
Polymorph energy (0 for the lowest one) = 0.227 eV/atom
DOS(E_F) = 1.1405 states/eV per atom
Formation energy from raw total energies = -312 meV/atom

Material: DyTmSb
Method: DFT, GGA-PBE
State: optimized geometry

```
DyTmSb
1.0
8.110 -2.114 0.000
8.110 2.114 0.000
-0.200 0.000 10.529
Dy Tm Sb
4 4 4
Cartesian
0.444 0.000 3.747
6.461 0.000 1.545
9.558 0.000 8.984
15.575 0.000 6.782
3.127 0.000 0.815
3.769 0.000 7.009
12.250 0.000 3.520
12.892 0.000 9.714
6.125 0.000 4.739
6.561 0.000 8.758
9.459 0.000 1.771
9.894 0.000 5.790
```

Values from the calculation:
DOS(E_F) = 1.2432 states/eV per atom
Formation energy from raw total energies = -575 meV/atom

> What is the DOS(E_F) in the second record?

0.6015 states/eV per atom

Repeat the second record exactly.
Material: Dy2Tm2Sb5
Method: DFT, GGA-PBE
State: optimized geometry

```
Dy2Tm2Sb5
1.0
7.792 -3.972 0.000
7.792 3.972 0.000
0.000 0.000 8.197
Dy Tm Sb
4 4 10
Cartesian
2.985 0.000 0.000
4.807 0.000 4.099
10.777 0.000 4.099
12.599 0.000 0.000
7.792 2.741 5.409
7.792 1.231 1.310
7.792 -1.231 6.888
7.792 -2.741 2.789
0.000 0.000 0.000
5.620 2.791 2.885
5.620 1.180 6.984
9.964 2.791 2.885
9.964 1.180 6.984
7.792 0.000 4.099
5.620 -1.180 1.213
5.620 -2.791 5.312
9.964 -1.180 1.213
9.964 -2.791 5.312
```

Values from the calculation:
DOS(E_F) = 0.6015 states/eV per atom
Formation energy from raw total energies = -813 meV/atom